(1)
SrHg4Pb7 | PBE-GGA | optimized geometry

Structure (POSCAR):
```
SrHg4Pb7
1.0
-0.022 0.492 -6.254
6.896 -7.275 -3.743
-5.793 -2.504 -3.323
Sr Hg Pb
1 4 7
Direct
0.000 0.000 0.000
0.632 0.246 0.491
0.368 0.754 0.509
0.654 0.702 0.990
0.346 0.298 0.010
0.783 0.929 0.505
0.217 0.071 0.495
0.024 0.600 0.352
0.976 0.400 0.648
0.313 0.558 0.816
0.500 0.000 0.000
0.687 0.442 0.184
```

Crystal system: monoclinic
Formation energy (eV per atom): 0.0195

(2)
SrHg10Pb2 | PBE-GGA | optimized geometry

Structure (POSCAR):
```
SrHg10Pb2
1.0
-5.283 -3.181 3.189
2.139 -4.746 6.366
-3.351 4.023 6.018
Sr Hg Pb
1 10 2
Direct
0.000 0.000 0.000
0.351 0.655 0.642
0.649 0.345 0.358
0.007 0.345 0.642
0.993 0.655 0.358
0.000 0.000 0.500
0.500 0.000 0.500
0.289 0.206 0.217
0.711 0.794 0.783
0.494 0.794 0.217
0.506 0.206 0.783
0.000 0.500 0.000
0.500 0.500 0.000
```

Crystal system: orthorhombic
Formation energy (eV per atom): -0.0528

(3)
Sr3HgPb | PBE-GGA | optimized geometry

Structure (POSCAR):
```
Sr3HgPb
1.0
-4.895 3.302 -2.536
-2.302 -5.408 -2.598
-3.469 -1.070 5.302
Pb Sr Hg
1 3 1
Direct
0.000 0.000 0.000
0.000 0.500 0.000
0.000 0.000 0.500
0.500 0.000 0.000
0.500 0.500 0.500
```

Crystal system: cubic
Formation energy (eV per atom): -0.1341

(4)
Sr5Hg2Pb5 | PBE-GGA | optimized geometry

Structure (POSCAR):
```
Sr5Hg2Pb5
1.0
5.021 0.000 1.133
2.705 8.791 -0.294
0.510 -1.451 9.434
Sr Hg Pb
5 2 5
Direct
0.000 0.500 0.500
0.693 0.679 0.934
0.325 0.011 0.340
0.675 0.989 0.660
0.307 0.321 0.066
0.433 0.415 0.720
0.567 0.585 0.280
0.706 0.259 0.330
0.993 0.246 0.768
0.007 0.754 0.232
0.294 0.741 0.670
0.000 0.000 0.000
```

Crystal system: monoclinic
Formation energy (eV per atom): -0.4811